Entry 1:
First-principles (PBE-GGA) data for a geometry-optimized Rb2NpUS6 structure, as listed in Alexandria.

Properties
Uncorrected energy in eV per cell: -63.80
D(E_F) in states/eV/cell: 14.00
Formation energy (no corrections) in eV/atom: -1.29
SG: Fm-3m (225)

Lattice parameters (Å, degrees): 7.3619 7.3619 7.3619 60.00 60.00 60.00
Positions (direct):
Rb 0.2500 0.2500 0.2500
Rb 0.7500 0.7500 0.7500
Np 0.0000 0.0000 0.0000
U 0.5000 0.5000 0.5000
S 0.2525 0.2525 0.7475
S 0.2525 0.7475 0.2525
S 0.2525 0.7475 0.7475
S 0.7475 0.2525 0.2525
S 0.7475 0.2525 0.7475
S 0.7475 0.7475 0.2525


Entry 2:
First-principles (PBE-GGA) data for a geometry-optimized RbNp2US8 structure, as listed in Alexandria.

Properties
Uncorrected energy in eV per cell: -83.35
D(E_F) in states/eV/cell: 20.75
Formation energy (no corrections) in eV/atom: -1.02
SG: P2/m (10)

Lattice parameters (Å, degrees): 6.1720 8.3543 6.4590 90.00 90.72 90.00
Positions (direct):
Rb 0.0000 0.0000 0.0000
Np 0.5000 0.2518 0.5000
Np 0.5000 0.7482 0.5000
U 0.0000 0.5000 0.0000
S 0.2503 0.2983 0.1671
S 0.2503 0.7017 0.1671
S 0.2713 0.0000 0.5899
S 0.2754 0.5000 0.6721
S 0.7246 0.5000 0.3279
S 0.7287 0.0000 0.4101
S 0.7497 0.2983 0.8329
S 0.7497 0.7017 0.8329


Entry 3:
First-principles (PBE-GGA) data for a geometry-optimized Rb3Np2US6 structure, as listed in Alexandria.

Properties
Uncorrected energy in eV per cell: -81.26
D(E_F) in states/eV/cell: 25.77
Formation energy (no corrections) in eV/atom: -1.37
SG: C2/m (12)

Lattice parameters (Å, degrees): 7.0993 7.0993 8.0572 98.45 98.45 120.00
Positions (direct):
Rb 0.0000 0.0000 0.0000
Rb 0.3327 0.6673 0.0000
Rb 0.6673 0.3327 0.0000
Np 0.1666 0.8334 0.5000
Np 0.8334 0.1666 0.5000
U 0.5000 0.5000 0.5000
S 0.1059 0.4362 0.3086
S 0.2336 0.2336 0.6915
S 0.4362 0.1059 0.3086
S 0.5638 0.8941 0.6914
S 0.7664 0.7664 0.3085
S 0.8941 0.5638 0.6914


Entry 4:
First-principles (PBE-GGA) data for a geometry-optimized RbNpUS4 structure, as listed in Alexandria.

Properties
Uncorrected energy in eV per cell: -102.17
D(E_F) in states/eV/cell: 25.73
Formation energy (no corrections) in eV/atom: -1.34
SG: Imma (74)

Lattice parameters (Å, degrees): 8.4883 8.4883 8.4883 120.45 119.87 89.72
Positions (direct):
Rb 0.3753 0.1253 0.2500
Rb 0.6247 0.8747 0.7500
Np 0.0000 0.5000 0.5000
Np 0.5000 0.5000 0.0000
U 0.0000 0.0000 0.5000
U 0.0000 0.5000 0.0000
S 0.1835 0.7293 0.4542
S 0.2245 0.2664 0.5419
S 0.2245 0.6826 0.9581
S 0.2248 0.2707 0.9542
S 0.7752 0.7293 0.0458
S 0.7755 0.3174 0.0419
S 0.7755 0.7336 0.4581
S 0.8165 0.2707 0.5458


Which value of D(E_F) does entry 4 give?
25.73 states/eV/cell